The following is a DFT calculation (PBE) of an optimized crystal structure of AlSb2.

The structure in CIF format:
```
data_AlSb2
_cell_length_a 3.1508
_cell_length_b 6.5870
_cell_length_c 8.3988
_cell_angle_alpha 81.55
_cell_angle_beta 80.08
_cell_angle_gamma 76.73
_symmetry_space_group_name_H-M 'P 1'
_symmetry_Int_Tables_number 1
_symmetry_space_group_name_Hall 'P 1'
loop_
_atom_site_label
_atom_site_fract_x
_atom_site_fract_y
_atom_site_fract_z
Al1 0.1646 0.0585 0.1224
Al2 0.8354 0.9415 0.8776
Sb1 0.1379 0.8093 0.4091
Sb2 0.4545 0.4284 0.1708
Sb3 0.5455 0.5716 0.8292
Sb4 0.8621 0.1907 0.5909
```

Properties
For the electronic total energy, the calculation gives -3.903 eV/atom. As for the space-group type: P-1.

---

The following is a DFT calculation (PBE) of an optimized crystal structure of Al2Sb3.

The structure in CIF format:
```
data_Al2Sb3
_cell_length_a 6.7158
_cell_length_b 6.7158
_cell_length_c 6.7158
_cell_angle_alpha 69.91
_cell_angle_beta 69.91
_cell_angle_gamma 69.91
_symmetry_space_group_name_H-M 'P 1'
_symmetry_Int_Tables_number 1
_symmetry_space_group_name_Hall 'P 1'
loop_
_atom_site_label
_atom_site_fract_x
_atom_site_fract_y
_atom_site_fract_z
Al1 0.1579 0.1579 0.1579
Al2 0.3421 0.3421 0.3421
Al3 0.6579 0.6579 0.6579
Al4 0.8421 0.8421 0.8421
Sb1 0.0906 0.7500 0.4094
Sb2 0.2500 0.5906 0.9094
Sb3 0.4094 0.0906 0.7500
Sb4 0.5906 0.9094 0.2500
Sb5 0.7500 0.4094 0.0906
Sb6 0.9094 0.2500 0.5906
```

Properties
The calculation puts the polymorph energy (0 for the lowest one) at 0.050 eV per atom. As for the space-group type: R-3c.

---

The following is a DFT calculation (PBE) of an optimized crystal structure of Al6Sb.

The structure in CIF format:
```
data_Al6Sb
_cell_length_a 7.2564
_cell_length_b 7.2564
_cell_length_c 7.2564
_cell_angle_alpha 90.00
_cell_angle_beta 90.00
_cell_angle_gamma 90.00
_symmetry_space_group_name_H-M 'P 1'
_symmetry_Int_Tables_number 1
_symmetry_space_group_name_Hall 'P 1'
loop_
_atom_site_label
_atom_site_fract_x
_atom_site_fract_y
_atom_site_fract_z
Al1 0.0000 0.2500 0.5000
Al2 0.0000 0.5000 0.2500
Al3 0.0000 0.5000 0.7500
Al4 0.0000 0.7500 0.5000
Al5 0.2500 0.0000 0.5000
Al6 0.2500 0.5000 0.0000
Al7 0.5000 0.0000 0.2500
Al8 0.5000 0.0000 0.7500
Al9 0.5000 0.2500 0.0000
Al10 0.5000 0.7500 0.0000
Al11 0.7500 0.0000 0.5000
Al12 0.7500 0.5000 0.0000
Sb1 0.0000 0.0000 0.0000
Sb2 0.5000 0.5000 0.5000
```

Properties
For the electronic total energy, the calculation gives -3.007 eV/atom. As for the space-group type: Im-3m.

---

The following is a DFT calculation (PBE) of an optimized crystal structure of AlSb2.

The structure in CIF format:
```
data_AlSb2
_cell_length_a 5.3361
_cell_length_b 5.3361
_cell_length_c 3.1271
_cell_angle_alpha 90.00
_cell_angle_beta 90.00
_cell_angle_gamma 120.00
_symmetry_space_group_name_H-M 'P 1'
_symmetry_Int_Tables_number 1
_symmetry_space_group_name_Hall 'P 1'
loop_
_atom_site_label
_atom_site_fract_x
_atom_site_fract_y
_atom_site_fract_z
Al1 0.0000 0.0000 0.0000
Sb1 0.3333 0.6667 0.5000
Sb2 0.6667 0.3333 0.5000
```

Properties
For the electronic total energy, the calculation gives -3.729 eV/atom. As for the space-group type: P6/mmm.

---

The following is a DFT calculation (PBE) of an optimized crystal structure of AlSb5.

The structure in CIF format:
```
data_AlSb5
_cell_length_a 5.7732
_cell_length_b 5.7732
_cell_length_c 5.4674
_cell_angle_alpha 90.00
_cell_angle_beta 90.00
_cell_angle_gamma 120.00
_symmetry_space_group_name_H-M 'P 1'
_symmetry_Int_Tables_number 1
_symmetry_space_group_name_Hall 'P 1'
loop_
_atom_site_label
_atom_site_fract_x
_atom_site_fract_y
_atom_site_fract_z
Al1 0.0000 0.0000 0.0000
Sb1 0.0000 0.6946 0.5000
Sb2 0.3054 0.3054 0.5000
Sb3 0.3333 0.6667 0.0000
Sb4 0.6667 0.3333 0.0000
Sb5 0.6946 0.0000 0.5000
```

Properties
The calculation puts the polymorph energy (0 for the lowest one) at 0.182 eV per atom. As for the space-group type: P-62m.

---

The following is a DFT calculation (PBE) of an optimized crystal structure of Al2Sb3.

The structure in CIF format:
```
data_Al2Sb3
_cell_length_a 4.1834
_cell_length_b 4.1834
_cell_length_c 25.0571
_cell_angle_alpha 90.00
_cell_angle_beta 90.00
_cell_angle_gamma 120.00
_symmetry_space_group_name_H-M 'P 1'
_symmetry_Int_Tables_number 1
_symmetry_space_group_name_Hall 'P 1'
loop_
_atom_site_label
_atom_site_fract_x
_atom_site_fract_y
_atom_site_fract_z
Al1 0.0000 0.0000 0.1043
Al2 0.0000 0.0000 0.8957
Al3 0.3333 0.6667 0.5624
Al4 0.3333 0.6667 0.7710
Al5 0.6667 0.3333 0.2290
Al6 0.6667 0.3333 0.4376
Sb1 0.0000 0.0000 0.2958
Sb2 0.0000 0.0000 0.5000
Sb3 0.0000 0.0000 0.7042
Sb4 0.3333 0.6667 0.1667
Sb5 0.3333 0.6667 0.3709
Sb6 0.3333 0.6667 0.9625
Sb7 0.6667 0.3333 0.0375
Sb8 0.6667 0.3333 0.6291
Sb9 0.6667 0.3333 0.8333
```

Properties
The calculation puts the polymorph energy (0 for the lowest one) at 0.000 eV per atom. As for the space-group type: R-3m.